No. 1
# Rb2BaCd2O4, optimized geometry, DFT PBE
# * density: 4.95 g/cm³
# * spin magnetization: 0.0 μB per formula unit
# * electronic total energy: -4.252 eV per atom
# * formation energy from raw total energies: -1.42 eV/atom
data_Rb2BaCd2O4
_chemical_formula_sum 'Rb4 Ba2 Cd4 O8'
_space_group_name_H-M_alt 'C 1 2/m 1'
_space_group_IT_number 12
_cell_length_a 13.356
_cell_length_b 3.976
_cell_length_c 9.683
_cell_angle_alpha 90.00
_cell_angle_beta 128.88
_cell_angle_gamma 90.00
loop_
_space_group_symop_operation_xyz
'x,y,z'
'-x,-y,-z'
'-x,y,-z'
'x,-y,z'
'x+1/2,y+1/2,z'
'-x+1/2,-y+1/2,-z'
'-x+1/2,y+1/2,-z'
'x+1/2,-y+1/2,z'
loop_
_atom_site_label
_atom_site_type_symbol
_atom_site_fract_x
_atom_site_fract_y
_atom_site_fract_z
Rb1 Rb 0.174 0.000 0.279
Ba1 Ba 0.000 0.000 0.500
Cd1 Cd 0.132 0.500 0.873
O1 O 0.061 0.500 0.368
O2 O 0.223 0.000 0.840

No. 2
# RbBaCdO2, optimized geometry, DFT PBE
# * density: 3.19 g/cm³
# * density of states at the Fermi level: 3.123 states/eV/cell
# * spin magnetization: 0.0 μB per formula unit
# * electronic total energy: -4.068 eV per atom
# * formation energy from raw total energies: -1.32 eV/atom
data_RbBaCdO2
_chemical_formula_sum 'Rb2 Ba2 Cd2 O4'
_space_group_name_H-M_alt 'P 1 2/c 1'
_space_group_IT_number 13
_cell_length_a 8.034
_cell_length_b 6.742
_cell_length_c 7.836
_cell_angle_alpha 90.00
_cell_angle_beta 115.74
_cell_angle_gamma 90.00
loop_
_space_group_symop_operation_xyz
'x,y,z'
'-x,-y,-z'
'-x,y,-z+1/2'
'x,-y,z+1/2'
loop_
_atom_site_label
_atom_site_type_symbol
_atom_site_fract_x
_atom_site_fract_y
_atom_site_fract_z
Rb1 Rb 0.000 0.201 0.250
Ba1 Ba 0.500 0.496 0.750
Cd1 Cd 0.500 0.000 0.000
O1 O 0.377 0.277 0.442

No. 3
# BaCdRe2O8, optimized geometry, DFT PBE
# * density: 6.19 g/cm³
# * spin magnetization: 0.0 μB per formula unit
# * electronic total energy: -7.303 eV per atom
# * formation energy from raw total energies: -1.69 eV/atom
data_BaCdRe2O8
_chemical_formula_sum 'Ba2 Cd2 Re4 O16'
_space_group_name_H-M_alt 'C 1 2/m 1'
_space_group_IT_number 12
_cell_length_a 7.861
_cell_length_b 6.556
_cell_length_c 7.822
_cell_angle_alpha 90.00
_cell_angle_beta 93.18
_cell_angle_gamma 90.00
loop_
_space_group_symop_operation_xyz
'x,y,z'
'-x,-y,-z'
'-x,y,-z'
'x,-y,z'
'x+1/2,y+1/2,z'
'-x+1/2,-y+1/2,-z'
'-x+1/2,y+1/2,-z'
'x+1/2,-y+1/2,z'
loop_
_atom_site_label
_atom_site_type_symbol
_atom_site_fract_x
_atom_site_fract_y
_atom_site_fract_z
Ba1 Ba 0.000 0.000 0.000
Cd1 Cd 0.000 0.000 0.500
Re1 Re 0.056 0.500 0.695
O1 O 0.014 0.234 0.290
O2 O 0.169 0.500 0.899
O3 O 0.177 0.500 0.501

No. 4
# Ba2CdReO6, optimized geometry, DFT PBE
# * density: 7.35 g/cm³
# * density of states at the Fermi level: 17.934 states/eV/cell
# * spin magnetization: 1.0 μB per formula unit
# * electronic total energy: -6.743 eV per atom
# * formation energy from raw total energies: -2.05 eV/atom
data_Ba2CdReO6
_chemical_formula_sum 'Ba8 Cd4 Re4 O24'
_space_group_name_H-M_alt 'F m -3 m'
_space_group_IT_number 225
_space_group_name_Hall '-F 4 2 3'
_cell_length_a 8.455
_cell_length_b 8.455
_cell_length_c 8.455
_cell_angle_alpha 90.00
_cell_angle_beta 90.00
_cell_angle_gamma 90.00
loop_
_atom_site_label
_atom_site_type_symbol
_atom_site_fract_x
_atom_site_fract_y
_atom_site_fract_z
Ba1 Ba 0.250 0.250 0.250
Cd1 Cd 0.000 0.000 0.000
Re1 Re 0.000 0.000 0.500
O1 O 0.000 0.000 0.270

No. 5
# BaCd2RhO5, optimized geometry, DFT PBE
# * density: 7.07 g/cm³
# * density of states at the Fermi level: 8.332 states/eV/cell
# * spin magnetization: 0.1 μB per formula unit
# * electronic total energy: -5.203 eV per atom
# * formation energy from raw total energies: -1.21 eV/atom
data_BaCd2RhO5
_chemical_formula_sum 'Ba2 Cd4 Rh2 O10'
_space_group_name_H-M_alt 'I m m m'
_space_group_IT_number 71
_space_group_name_Hall '-I 2 2'
_cell_length_a 3.794
_cell_length_b 5.839
_cell_length_c 11.562
_cell_angle_alpha 90.00
_cell_angle_beta 90.00
_cell_angle_gamma 90.00
loop_
_atom_site_label
_atom_site_type_symbol
_atom_site_fract_x
_atom_site_fract_y
_atom_site_fract_z
Ba1 Ba 0.000 0.000 0.000
Cd1 Cd 0.000 0.500 0.217
Rh1 Rh 0.000 0.000 0.500
O1 O 0.000 0.234 0.365
O2 O 0.000 0.500 0.000

No. 6
# Ba3Cd2RhO6, optimized geometry, DFT PBE
# * density: 6.32 g/cm³
# * density of states at the Fermi level: 8.776 states/eV/cell
# * spin magnetization: 1.8 μB per formula unit
# * electronic total energy: -5.245 eV per atom
# * formation energy from raw total energies: -1.52 eV/atom
data_Ba3Cd2RhO6
_chemical_formula_sum 'Ba3 Cd2 Rh1 O6'
_space_group_name_H-M_alt 'P -3 m 1'
_space_group_IT_number 164
_space_group_name_Hall '-P 3 2"'
_cell_length_a 6.0007
_cell_length_b 6.0007
_cell_length_c 7.0438
_cell_angle_alpha 90.00
_cell_angle_beta 90.00
_cell_angle_gamma 120.00
loop_
_atom_site_label
_atom_site_type_symbol
_atom_site_fract_x
_atom_site_fract_y
_atom_site_fract_z
Ba1 Ba 0.0000 0.0000 0.0000
Ba2 Ba 0.3333 0.6667 0.6223
Cd1 Cd 0.3333 0.6667 0.1366
Rh1 Rh 0.0000 0.0000 0.5000
O1 O 0.1577 0.3155 0.3295